No. 1
First-principles (PBE-GGA) data for a relaxed Sr2MnCo crystal, as listed in Alexandria.

- Energy of formation from the pure elements: 238 meV/atom
- Electronic total energy: -4.672 eV per atom

abc: 8.571 8.571 8.571
angles: 27.84 27.84 27.84
Last column: magnetic moment on the atom in μB.
Sites, in units of the cell vectors:
Co  0.458  0.458  0.458  0.67
Mn  0.792  0.792  0.792  3.16
Sr  0.213  0.213  0.213  -0.01
Sr  0.037  0.037  0.037  -0.01

---

No. 2
First-principles (PBE-GGA) data for a relaxed SrMnCo2 crystal, as listed in Alexandria.

- Energy of formation from the pure elements: 711 meV/atom
- Electronic total energy: -5.555 eV per atom

abc: 4.529 4.529 4.529
angles: 60.00 60.00 60.00
Last column: magnetic moment on the atom in μB.
Sites, in units of the cell vectors:
Co  0.750  0.750  0.750  0.95
Co  0.250  0.250  0.250  0.95
Sr  0.500  0.500  0.500  -0.11
Mn  0.000  0.000  0.000  3.36

---

No. 3
First-principles (PBE-GGA) data for a relaxed SrMnCo crystal, as listed in Alexandria.

- Energy of formation from the pure elements: 340 meV/atom
- Electronic total energy: -5.645 eV per atom

abc: 6.260 3.897 5.976
angles: 109.00 92.26 108.12
Last column: magnetic moment on the atom in μB.
Sites, in units of the cell vectors:
Sr  0.215  0.647  0.725  0.02
Sr  0.521  0.089  0.302  -0.01
Mn  0.994  0.243  0.137  3.21
Mn  0.793  0.935  0.722  -2.74
Co  0.929  0.822  0.360  0.54
Co  0.760  0.527  0.940  0.76

---

No. 4
First-principles (PBE-GGA) data for a relaxed SrMnCo2 crystal, as listed in Alexandria.

- Energy of formation from the pure elements: 243 meV/atom
- Electronic total energy: -6.023 eV per atom

abc: 4.102 4.102 5.999
angles: 69.95 69.95 60.01
Last column: magnetic moment on the atom in μB.
Sites, in units of the cell vectors:
Co  0.738  0.738  0.786  1.53
Co  0.060  0.060  0.819  1.55
Mn  0.447  0.447  0.658  3.46
Sr  0.254  0.254  0.237  -0.04

---

No. 5
First-principles (PBE-GGA) data for a relaxed SrMnCo crystal, as listed in Alexandria.

- Energy of formation from the pure elements: 426 meV/atom
- Electronic total energy: -5.560 eV per atom

abc: 6.106 5.168 5.168
angles: 89.47 65.21 114.79
Last column: magnetic moment on the atom in μB.
Sites, in units of the cell vectors:
Sr  0.253  0.041  0.472  0.00
Sr  0.484  0.656  0.857  0.00
Mn  0.869  0.337  0.875  0.80
Mn  0.869  0.059  0.153  0.80
Co  0.869  0.342  0.458  -0.21
Co  0.869  0.642  0.158  -0.21

---

No. 6
First-principles (PBE-GGA) data for a relaxed SrMnCo crystal, as listed in Alexandria.

- Energy of formation from the pure elements: 254 meV/atom
- Electronic total energy: -5.731 eV per atom

abc: 10.238 4.092 4.092
angles: 59.99 78.51 90.01
Last column: magnetic moment on the atom in μB.
Sites, in units of the cell vectors:
Co  0.002  0.798  0.468  1.16
Co  0.857  0.416  0.232  1.09
Mn  0.079  0.490  0.084  3.17
Mn  0.931  0.108  0.849  2.90
Sr  0.282  0.225  0.616  0.01
Sr  0.668  0.687  0.691  0.00

---

No. 7
First-principles (PBE-GGA) data for a relaxed SrMnCo2 crystal, as listed in Alexandria.

- Energy of formation from the pure elements: 457 meV/atom
- Electronic total energy: -5.809 eV per atom

abc: 3.814 3.865 5.894
angles: 70.80 90.00 90.00
Last column: magnetic moment on the atom in μB.
Sites, in units of the cell vectors:
Mn  0.000  0.514  0.346  3.70
Co  0.000  0.148  0.079  1.41
Co  0.500  0.052  0.270  1.41
Sr  0.500  0.785  0.804  -0.04

---

No. 8
First-principles (PBE-GGA) data for a relaxed Sr4MnCo crystal, as listed in Alexandria.

- Energy of formation from the pure elements: 1211 meV/atom
- Electronic total energy: -2.623 eV per atom

abc: 7.075 7.075 7.075
angles: 60.00 60.00 60.00
Last column: magnetic moment on the atom in μB.
Sites, in units of the cell vectors:
Mn  0.000  0.000  0.000  4.35
Sr  0.875  0.375  0.375  0.01
Sr  0.375  0.875  0.375  0.01
Sr  0.375  0.375  0.875  0.01
Sr  0.375  0.375  0.375  0.01
Co  0.750  0.750  0.750  -2.05

---

No. 9
First-principles (PBE-GGA) data for a relaxed SrMnCo2 crystal, as listed in Alexandria.

- Energy of formation from the pure elements: 818 meV/atom
- Electronic total energy: -5.448 eV per atom

abc: 5.216 5.216 5.216
angles: 135.05 135.05 65.45
Last column: magnetic moment on the atom in μB.
Sites, in units of the cell vectors:
Mn  0.500  0.500  0.000  3.71
Co  0.250  0.750  0.500  1.48
Co  0.000  0.000  0.000  1.64
Sr  0.750  0.250  0.500  -0.06

---

No. 10
First-principles (PBE-GGA) data for a relaxed Sr2MnCo crystal, as listed in Alexandria.

- Energy of formation from the pure elements: 754 meV/atom
- Electronic total energy: -4.155 eV per atom

abc: 5.837 5.837 5.837
angles: 132.75 132.75 69.05
Last column: magnetic moment on the atom in μB.
Sites, in units of the cell vectors:
Mn  0.750  0.250  0.500  3.92
Sr  0.000  0.000  0.000  -0.06
Sr  0.250  0.750  0.500  -0.07
Co  0.500  0.500  0.000  1.58

---

No. 11
First-principles (PBE-GGA) data for a relaxed SrMnCo2 crystal, as listed in Alexandria.

- Energy of formation from the pure elements: 771 meV/atom
- Electronic total energy: -5.495 eV per atom

abc: 5.250 5.250 5.250
angles: 143.88 123.74 68.70
Last column: magnetic moment on the atom in μB.
Sites, in units of the cell vectors:
Co  0.529  0.529  0.000  1.60
Co  0.971  0.971  0.000  1.60
Sr  0.250  0.750  0.500  -0.06
Mn  0.750  0.250  0.500  3.39

---

No. 12
First-principles (PBE-GGA) data for a relaxed Sr2MnCo crystal, as listed in Alexandria.

- Energy of formation from the pure elements: 672 meV/atom
- Electronic total energy: -4.238 eV per atom

abc: 5.327 5.327 5.327
angles: 60.00 60.00 60.00
Last column: magnetic moment on the atom in μB.
Sites, in units of the cell vectors:
Sr  0.250  0.250  0.250  -0.10
Sr  0.750  0.750  0.750  -0.10
Co  0.500  0.500  0.500  1.43
Mn  0.000  0.000  0.000  3.82